The following is a GGA-PBE calculation of an optimized crystal structure of BaPmReN4, from Alexandria via LeMat-Bulk.

Properties
* formation energy without anion corrections: -0.86 eV/atom
* magnetic moment: 0.00 μB per formula unit
* E: -8.3479 eV/atom

Cell: 6.0903 5.9971 7.4911 Å, 90.00 106.62 90.00°
With the nearest neighbours (Å) after each atom.
Space group P2_1/m (No. 11)
Inequivalent atoms, fractional coordinates:
Ba (0.2158, 0.2500, 0.4265)  4 N 2.75-2.91
Pm (0.2925, 0.2500, 0.9530)  6 N 2.42-2.67
Re (0.2485, 0.7500, 0.1707)  4 N 1.80-1.85
N (0.0613, 0.7500, 0.3245)  1 Re 1.84
N (0.0606, 0.7500, 0.9358)  1 Re 1.80
N (0.4456, 0.5094, 0.2051)  1 Re 1.85